An optimized crystal structure of BaCo3, computed with PBE.

Summary:
DOS(E_F) ... 8.247 states/eV/f.u.
V ... 132 Å³/cell
Uncorrected energy ... -11.406 eV per cell
Formation energy from the elements ... 2.959 eV/atom

Cell: 5.088 5.088 5.088 Å, 90.00 90.00 90.00°
Atoms (fractional coordinates):
Ba: 0.000 0.000 0.000
Co: 0.000 0.000 0.500
Co: 0.000 0.500 0.000
Co: 0.500 0.000 0.000



An optimized crystal structure of Ba5Co, computed with PBE.

Summary:
DOS(E_F) ... 9.821 states/eV/f.u.
V ... 328 Å³/cell
Uncorrected energy ... -14.222 eV per cell
Energy relative to the lowest polymorph listed for this composition ... 3.82 kcal/mol of atoms
Formation energy from the elements ... 0.416 eV/atom

Cell: 9.241 9.241 4.432 Å, 90.00 90.00 120.00°
Atoms (fractional coordinates):
Ba: 0.000 0.763 0.000
Ba: 0.237 0.237 0.000
Ba: 0.333 0.667 0.500
Ba: 0.667 0.333 0.500
Ba: 0.763 0.000 0.000
Co: 0.000 0.000 0.500



An optimized crystal structure of Ba5Co, computed with PBE.

Summary:
DOS(E_F) ... 15.650 states/eV/f.u.
V ... 336 Å³/cell
Uncorrected energy ... -11.923 eV per cell
Energy relative to the lowest polymorph listed for this composition ... 12.66 kcal/mol of atoms
Formation energy from the elements ... 0.799 eV/atom

Cell: 7.804 7.804 7.804 Å, 60.00 60.00 60.00°
Atoms (fractional coordinates):
Ba: 0.000 0.000 0.000
Ba: 0.128 0.624 0.624
Ba: 0.624 0.128 0.624
Ba: 0.624 0.624 0.128
Ba: 0.624 0.624 0.624
Co: 0.250 0.250 0.250



Please write out number 1 again, unchanged.
An optimized crystal structure of BaCo3, computed with PBE.

Summary:
DOS(E_F) ... 8.247 states/eV/f.u.
V ... 132 Å³/cell
Uncorrected energy ... -11.406 eV per cell
Formation energy from the elements ... 2.959 eV/atom

Cell: 5.088 5.088 5.088 Å, 90.00 90.00 90.00°
Atoms (fractional coordinates):
Ba: 0.000 0.000 0.000
Co: 0.000 0.000 0.500
Co: 0.000 0.500 0.000
Co: 0.500 0.000 0.000